This record from Alexandria via LeMat-Bulk describes a relaxed SnCI2N crystal. The functional is PBE.

- formation energy (no corrections) (meV/atom) = 907

Lattice parameters (Å, degrees): 7.7883 7.7883 2.6671 90.00 90.00 90.00
Element x y z (fractional)
1 Sn 0.0000 0.0000 0.0000
2 C 0.5000 0.5000 0.5000
3 I 0.0000 0.5000 0.5000
4 I 0.5000 0.0000 0.5000
5 N 0.5000 0.5000 0.0000

This record from Alexandria via LeMat-Bulk describes a relaxed Nb14MoIr crystal. The functional is PBE.

- formation energy (eV per atom) = -0.145

Lattice parameters (Å, degrees): 6.5544 6.5544 6.5927 90.00 90.00 90.00
Element x y z (fractional)
1 Nb 0.0000 0.0000 0.0000
2 Nb 0.0000 0.5000 0.0000
3 Nb 0.0000 0.5000 0.5000
4 Nb 0.2494 0.2494 0.2536
5 Nb 0.2494 0.2494 0.7464
6 Nb 0.2494 0.7506 0.2536
7 Nb 0.2494 0.7506 0.7464
8 Nb 0.5000 0.0000 0.0000
9 Nb 0.5000 0.0000 0.5000
10 Nb 0.5000 0.5000 0.0000
11 Nb 0.7506 0.2494 0.2536
12 Nb 0.7506 0.2494 0.7464
13 Nb 0.7506 0.7506 0.2536
14 Nb 0.7506 0.7506 0.7464
15 Mo 0.0000 0.0000 0.5000
16 Ir 0.5000 0.5000 0.5000

This record from Alexandria via LeMat-Bulk describes a relaxed YAgS2 crystal. The functional is PBE.

- formation energy (no corrections) (meV/atom) = -1170

Lattice parameters (Å, degrees): 7.0414 7.0414 7.0414 31.90 31.90 31.90
Element x y z (fractional)
1 Y 0.0000 0.0000 0.0000
2 Ag 0.8320 0.8320 0.8320
3 S 0.2516 0.2516 0.2516
4 S 0.4160 0.4160 0.4160

This record from Alexandria via LeMat-Bulk describes a relaxed Hg2TePt crystal. The functional is PBE.

- formation energy (no corrections) (meV/atom) = 124

Lattice parameters (Å, degrees): 6.2761 6.2666 4.0861 71.11 70.86 38.02
Element x y z (fractional)
1 Hg 0.0000 0.5000 0.5000
2 Hg 0.5000 0.0000 0.0000
3 Te 0.0000 0.0000 0.0000
4 Pt 0.5000 0.5000 0.5000

This record from Alexandria via LeMat-Bulk describes a relaxed AcLaS crystal. The functional is PBE.

- formation energy (no corrections) (meV/atom) = -1216

Lattice parameters (Å, degrees): 4.1787 4.1787 6.8723 90.00 90.00 120.00
Element x y z (fractional)
1 Ac 0.0000 0.0000 0.0000
2 La 0.6667 0.3333 0.4955
3 S 0.3333 0.6667 0.7307

This record from Alexandria via LeMat-Bulk describes a relaxed ZrCIN2 crystal. The functional is PBE.

- formation energy (no corrections) (meV/atom) = 2436

Lattice parameters (Å, degrees): 3.7959 3.7959 6.0699 90.00 90.00 90.00
Element x y z (fractional)
1 Zr 0.0000 0.0000 0.0000
2 C 0.5000 0.5000 0.0000
3 I 0.0000 0.0000 0.5000
4 N 0.0000 0.5000 0.5000
5 N 0.5000 0.0000 0.5000

- What is the formula in the third record?
  YAgS2